*A*
First-principles (PBE-GGA) data for a relaxed structure of Zr, as listed in OQMD.

Unit cell a=3.244 b=3.244 c=5.358 alpha=72.38 beta=107.62 gamma=120.00
Sites, in units of the cell vectors:
Zr 0.750 0.250 0.250
Zr 0.250 0.750 0.750

Computed properties:
The calculated volume is 22.9 Å³ per atom. As for the symmetry: No. 166.

=====

*B*
First-principles (PBE-GGA) data for a relaxed structure of Zr, as listed in OQMD.

Unit cell a=5.597 b=5.597 c=5.161 alpha=90.00 beta=90.00 gamma=120.00
Sites, in units of the cell vectors:
Zr 0.000 0.000 0.000
Zr 0.667 0.333 0.000
Zr 0.333 0.667 0.000
Zr 0.667 0.000 0.500
Zr 0.333 0.333 0.500
Zr 0.000 0.667 0.500

Computed properties:
The calculated volume is 23.3 Å³ per atom. As for the symmetry: No. 194.

=====

It turns out *B* is the most stable, with the second structure 5.4 kJ/mol of atoms higher.

=====

*A*
First-principles (PBE-GGA) data for a relaxed structure of NdScPO, as listed in OQMD.

Unit cell a=4.211 b=4.211 c=8.771 alpha=90.00 beta=90.00 gamma=90.00
Sites, in units of the cell vectors:
Nd 0.250 0.250 0.123
Nd 0.750 0.750 0.877
O 0.750 0.250 0.000
O 0.250 0.750 0.000
P 0.750 0.750 0.327
P 0.250 0.250 0.673
Sc 0.750 0.250 0.500
Sc 0.250 0.750 0.500

Computed properties:
The calculated volume is 19.4 Å³ per atom. As for the symmetry: No. 129.

=====

*B*
First-principles (PBE-GGA) data for a relaxed structure of NdScPO, as listed in OQMD.

Unit cell a=4.215 b=4.921 c=7.055 alpha=90.00 beta=90.00 gamma=90.00
Sites, in units of the cell vectors:
Nd 0.500 0.849 0.086
Nd 0.500 0.151 0.586
O 0.500 0.660 0.432
O 0.500 0.340 0.932
P 0.000 0.148 0.293
P 0.000 0.852 0.793
Sc 0.000 0.652 0.443
Sc 0.000 0.348 0.943

Computed properties:
The calculated volume is 18.3 Å³ per atom. As for the symmetry: No. 26.

=====

It turns out *B* is the most stable, with the second structure 2.6 kJ/mol of atoms higher.

=====

*A*
First-principles (PBE-GGA) data for a relaxed structure of MgBiAsW, as listed in OQMD.

Unit cell a=4.869 b=4.869 c=4.869 alpha=60.00 beta=60.00 gamma=60.00
Sites, in units of the cell vectors:
As 0.250 0.250 0.250
Bi 0.500 0.500 0.500
Mg 0.750 0.750 0.750
W 0.000 0.000 0.000

Computed properties:
The calculated volume is 20.4 Å³ per atom. As for the symmetry: No. 216.

=====

*B*
First-principles (PBE-GGA) data for a relaxed structure of MgBiAsW, as listed in OQMD.

Unit cell a=4.795 b=4.795 c=4.795 alpha=60.00 beta=60.00 gamma=60.00
Sites, in units of the cell vectors:
As 0.000 0.000 0.000
Bi 0.500 0.500 0.500
Mg 0.750 0.750 0.750
W 0.250 0.250 0.250

Computed properties:
The calculated volume is 19.5 Å³ per atom. As for the symmetry: No. 216.

=====

It turns out *B* is the most stable, with the second structure 31.4 kJ/mol of atoms higher.

=====

*A*
First-principles (PBE-GGA) data for a relaxed structure of Rb2LiCdF6, as listed in OQMD.

Unit cell a=5.795 b=5.795 c=5.797 alpha=119.95 beta=119.95 gamma=60.08
Sites, in units of the cell vectors:
Cd 0.000 0.000 0.000
F 0.740 0.259 0.260
F 0.259 0.740 0.260
F 0.260 0.260 0.261
F 0.740 0.740 0.739
F 0.741 0.260 0.740
F 0.260 0.741 0.740
Li 0.500 0.500 0.500
Rb 0.750 0.750 0.250
Rb 0.250 0.250 0.750

Computed properties:
The calculated volume is 13.8 Å³ per atom. As for the symmetry: No. 166.

=====

*B*
First-principles (PBE-GGA) data for a relaxed structure of Rb2LiCdF6, as listed in OQMD.

Unit cell a=5.839 b=5.838 c=10.116 alpha=90.00 beta=125.24 gamma=90.00
Sites, in units of the cell vectors:
Cd 0.500 0.500 0.000
Cd 0.500 0.000 0.500
F 0.758 0.761 0.000
F 0.762 0.242 0.001
F 0.242 0.000 0.241
F 0.758 0.500 0.259
F 0.238 0.742 0.499
F 0.242 0.261 0.500
F 0.758 0.739 0.500
F 0.762 0.258 0.501
F 0.242 0.500 0.741
F 0.758 0.000 0.759
F 0.238 0.758 0.999
F 0.242 0.239 0.000
Li 0.000 0.000 0.000
Li 0.000 0.500 0.500
Rb 0.250 0.501 0.250
Rb 0.750 0.001 0.250
Rb 0.250 0.999 0.750
Rb 0.750 0.499 0.750

Computed properties:
The calculated volume is 14.1 Å³ per atom. As for the symmetry: No. 14.

=====

It turns out *B* is the most stable, with the second structure 1.3 kJ/mol of atoms higher.

=====

*A*
First-principles (PBE-GGA) data for a relaxed structure of GdZrNO, as listed in OQMD.

Unit cell a=3.891 b=4.727 c=6.744 alpha=90.00 beta=90.00 gamma=90.00
Sites, in units of the cell vectors:
Gd 0.500 0.938 0.161
Gd 0.500 0.438 0.839
N 0.000 0.938 0.354
N 0.000 0.438 0.646
O 0.500 0.438 0.195
O 0.500 0.938 0.805
Zr 0.000 0.439 0.335
Zr 0.000 0.939 0.665

Computed properties:
The calculated volume is 15.5 Å³ per atom. As for the symmetry: No. 51.

=====

*B*
First-principles (PBE-GGA) data for a relaxed structure of GdZrNO, as listed in OQMD.

Unit cell a=4.804 b=4.804 c=4.662 alpha=90.00 beta=90.00 gamma=90.00
Sites, in units of the cell vectors:
Gd 0.750 0.250 0.500
Gd 0.250 0.750 0.500
N 0.750 0.750 0.500
N 0.250 0.250 0.500
O 0.750 0.250 0.000
O 0.250 0.750 0.000
Zr 0.250 0.250 0.001
Zr 0.750 0.750 0.999

Computed properties:
The calculated volume is 13.5 Å³ per atom. As for the symmetry: No. 123.

=====

It turns out *A* is the most stable, with the second structure 2.5 kJ/mol of atoms higher.

=====

*A*
First-principles (PBE-GGA) data for a relaxed structure of NdSiNO, as listed in OQMD.

Unit cell a=3.836 b=5.360 c=5.007 alpha=90.00 beta=90.00 gamma=90.00
Sites, in units of the cell vectors:
N 0.000 0.752 0.498
N 0.000 0.252 0.502
Nd 0.500 0.001 0.253
Nd 0.500 0.501 0.747
O 0.500 0.500 0.230
O 0.500 0.000 0.770
Si 0.000 0.501 0.263
Si 0.000 0.001 0.737

Computed properties:
The calculated volume is 12.9 Å³ per atom. As for the symmetry: No. 26.

=====

*B*
First-principles (PBE-GGA) data for a relaxed structure of NdSiNO, as listed in OQMD.

Unit cell a=6.736 b=6.719 c=5.297 alpha=90.00 beta=90.00 gamma=90.00
Sites, in units of the cell vectors:
N 0.412 0.352 0.002
N 0.912 0.648 0.002
N 0.088 0.352 0.502
N 0.588 0.648 0.502
Nd 0.443 0.321 0.484
Nd 0.943 0.679 0.484
Nd 0.057 0.321 0.984
Nd 0.557 0.679 0.984
O 0.008 0.004 0.233
O 0.508 0.996 0.233
O 0.492 0.004 0.733
O 0.992 0.996 0.733
Si 0.913 0.161 0.484
Si 0.413 0.839 0.484
Si 0.587 0.161 0.984
Si 0.087 0.839 0.984

Computed properties:
The calculated volume is 15.0 Å³ per atom. As for the symmetry: No. 29.

=====

It turns out *A* is the most stable, with the second structure 9.0 kJ/mol of atoms higher.

=====

*A*
First-principles (PBE-GGA) data for a relaxed structure of SmTlPd, as listed in OQMD.

Unit cell a=7.678 b=7.678 c=4.074 alpha=90.00 beta=90.00 gamma=120.00
Sites, in units of the cell vectors:
Pd 0.667 0.333 0.000
Pd 0.333 0.667 0.000
Pd 0.000 0.000 0.500
Sm 0.590 0.000 0.500
Sm 0.410 0.410 0.500
Sm 0.000 0.590 0.500
Tl 0.258 0.000 0.000
Tl 0.000 0.258 0.000
Tl 0.742 0.742 0.000

Computed properties:
The calculated volume is 23.1 Å³ per atom. As for the symmetry: No. 189.

=====

*B*
First-principles (PBE-GGA) data for a relaxed structure of SmTlPd, as listed in OQMD.

Unit cell a=4.811 b=4.811 c=4.811 alpha=60.00 beta=60.00 gamma=60.00
Sites, in units of the cell vectors:
Pd 0.000 0.000 0.000
Sm 0.250 0.250 0.250
Tl 0.750 0.750 0.750

Computed properties:
The calculated volume is 26.2 Å³ per atom. As for the symmetry: No. 216.

=====

It turns out *A* is the most stable, with the second structure 12.1 kJ/mol of atoms higher.